TaNi3Sn (PBE, optimized geometry); E above lowest polymorph = 0.0 meV/atom; magnetization = 0.00 Bohr magnetons per cell; uncorrected energy = -5.600 eV/atom; energy of formation from the pure elements = 1.040 eV per atom; D(E_F) = 5.102 states/eV/cell; space group = Pm-3m (221)
1.0
-3.857 -1.158 -2.238
-2.142 -0.646 4.028
-1.326 4.412 0.003
Ni Sn Ta
3 1 1
Direct
0.000 0.500 0.000 Ni
0.000 0.000 0.500 Ni
0.500 0.000 0.000 Ni
0.500 0.500 0.500 Sn
0.000 0.000 0.000 Ta

TaTc2NiSn (PBE, optimized geometry); magnetization = 1.85 Bohr magnetons per cell; uncorrected energy = -7.134 eV/atom; energy of formation from the pure elements = 1.340 eV per atom; D(E_F) = 5.584 states/eV/cell; space group = P4/mmm (123)
1.0
4.772 0.000 0.000
0.000 4.591 0.000
0.000 0.000 4.772
Tc Ni Sn Ta
2 1 1 1
Direct
0.000 0.000 0.500 Tc
0.500 0.000 0.000 Tc
0.000 0.500 0.000 Ni
0.500 0.500 0.500 Sn
0.000 0.000 0.000 Ta

Ta2TcNiSn (PBE, optimized geometry); magnetization = 0.00 Bohr magnetons per cell; uncorrected energy = -6.465 eV/atom; energy of formation from the pure elements = 2.306 eV per atom; D(E_F) = 3.989 states/eV/cell; space group = P4/mmm (123)
1.0
4.988 0.000 0.000
0.000 4.757 0.000
0.000 0.000 4.988
Tc Ni Sn Ta
1 1 1 2
Direct
0.000 0.500 0.000 Tc
0.500 0.500 0.500 Ni
0.000 0.000 0.000 Sn
0.000 0.000 0.500 Ta
0.500 0.000 0.000 Ta

Tb2NiSn (PBE, optimized geometry); E above lowest polymorph = 204.9 meV/atom; magnetization = 0.00 Bohr magnetons per cell; uncorrected energy = -5.063 eV/atom; energy of formation from the pure elements = -0.302 eV per atom; D(E_F) = 5.511 states/eV/cell; space group = Immm (71)
1.0
4.813 0.000 0.000
0.000 8.579 0.004
-2.407 -2.144 4.964
Tb Ni Sn
4 2 2
Direct
0.169 0.584 0.338 Tb
0.831 0.416 0.662 Tb
0.169 0.084 0.338 Tb
0.831 0.916 0.662 Tb
0.000 0.750 0.000 Ni
0.000 0.250 0.000 Ni
0.500 0.250 0.000 Sn
0.500 0.750 0.000 Sn

Tb8NiSn2 (PBE, optimized geometry); magnetization = 0.00 Bohr magnetons per cell; uncorrected energy = -4.966 eV/atom; energy of formation from the pure elements = -0.346 eV per atom; D(E_F) = 9.641 states/eV/cell; space group = C2/m (12)
1.0
4.927 0.000 0.000
0.000 6.758 0.249
-2.464 -2.518 9.191
Tb Ni Sn
8 1 2
Direct
0.408 0.524 0.817 Tb
0.643 0.006 0.287 Tb
0.783 0.678 0.567 Tb
0.985 0.218 0.970 Tb
0.217 0.322 0.433 Tb
0.357 0.994 0.713 Tb
0.592 0.476 0.183 Tb
0.015 0.782 0.030 Tb
0.500 0.000 0.000 Ni
0.818 0.237 0.635 Sn
0.182 0.763 0.365 Sn

Tb4NiSn2 (PBE, optimized geometry); magnetization = 0.00 Bohr magnetons per cell; uncorrected energy = -5.162 eV/atom; energy of formation from the pure elements = -0.546 eV per atom; D(E_F) = 5.320 states/eV/cell; space group = C2/m (12)
1.0
4.517 0.000 0.000
0.000 8.570 -0.795
-2.258 -5.103 5.349
Tb Ni Sn
4 1 2
Direct
0.928 0.206 0.855 Tb
0.072 0.794 0.145 Tb
0.668 0.274 0.337 Tb
0.332 0.726 0.663 Tb
0.000 0.000 0.000 Ni
0.646 0.632 0.293 Sn
0.354 0.368 0.707 Sn